[1]
YUCo3 (PBE, relaxed); space group = Cm (8); excess energy over the best structure of this formula in the dataset = 0.000 eV per formula unit; DOS(E_F) = 4.341 states/eV/f.u.; spin magnetization = 0.00 μB per cell; calculated formation energy = -0.213 eV per atom
1.0
5.984 -0.007 -0.022
2.997 5.419 -0.682
3.013 1.039 5.206
Y U Co
2 2 6
Direct
0.545 0.460 0.368
0.545 0.959 0.868
0.941 0.336 0.699
0.941 0.837 0.198
0.059 0.973 0.398
0.488 0.472 0.899
0.159 0.834 0.766
0.059 0.472 0.899
0.158 0.335 0.267
0.488 0.973 0.398

[2]
Y2UCo2 (PBE, relaxed); space group = C2/c (15); DOS(E_F) = 6.442 states/eV/f.u.; spin magnetization = 0.00 μB per cell; calculated formation energy = -0.219 eV per atom
1.0
-0.974 -5.930 0.089
3.794 -3.623 2.931
-3.296 -0.493 5.931
Y U Co
4 2 4
Direct
0.455 0.243 0.144
0.757 0.545 0.356
0.545 0.757 0.856
0.243 0.455 0.644
0.068 0.932 0.250
0.932 0.068 0.750
0.729 0.984 0.514
0.016 0.271 0.986
0.271 0.016 0.486
0.984 0.729 0.014

[3]
U2Zn16Co (PBE, relaxed); space group = R3m (160); DOS(E_F) = 18.377 states/eV/f.u.; spin magnetization = 4.23 μB per cell; calculated formation energy = -0.038 eV per atom
1.0
-0.022 2.173 6.400
0.577 -6.083 2.890
6.710 0.149 0.796
U Zn Co
2 16 1
Direct
0.677 0.677 0.677
0.342 0.342 0.342
0.708 0.001 0.292
0.001 0.292 0.708
0.292 0.708 0.001
0.001 0.708 0.292
0.708 0.292 0.001
0.292 0.001 0.708
0.359 0.837 0.359
0.837 0.359 0.359
0.359 0.359 0.837
0.651 0.158 0.651
0.158 0.651 0.651
0.651 0.651 0.158
0.003 0.501 0.003
0.501 0.003 0.003
0.003 0.003 0.501
0.099 0.099 0.099
0.857 0.857 0.857

Among the records above, which one has the highest calculated formation energy?
U2Zn16Co

The lowest calculated formation energy belongs to which entry?
Y2UCo2